Density functional theory data (PBE-GGA) for a geometry-optimized CuAgAsIr structure.

Properties
The value obtained for the total energy is -4.72 eV per atom. Its offset from the most stable computed form is 0.000 eV/f.u. The crystal system is cubic.

Unit cell a=4.4365 b=4.4365 c=4.4365 alpha=60.00 beta=60.00 gamma=60.00
Closest atoms and distances in Å follow each position.
Atoms (fractional coordinates):
Ir: 0.2500 0.2500 0.2500  4 As 2.72, 4 Ag 2.72
Cu: 0.7500 0.7500 0.7500  4 As 2.72, 4 Ag 2.72
As: 0.0000 0.0000 0.0000  4 Cu 2.72, 4 Ir 2.72
Ag: 0.5000 0.5000 0.5000  4 Cu 2.72, 4 Ir 2.72